This record from Alexandria via LeMat-Bulk describes a relaxed Tb4Pr6Ho crystal. The functional is PBE.

Structure (POSCAR):
```
Tb4Pr6Ho
1.0
6.861 0.000 0.000
0.000 6.861 0.000
-3.431 -3.431 8.253
Tb Pr Ho
4 6 1
direct
0.061 0.712 0.773
0.939 0.939 0.227
0.712 0.061 0.773
0.288 0.288 0.227
0.870 0.487 0.357
0.487 0.870 0.357
0.513 0.513 0.643
0.000 0.500 0.000
0.130 0.130 0.643
0.500 0.000 0.000
0.500 0.500 0.000
```

Calculated values
ΔE_f = 0.290 eV/atom
Total moment = 0.0 μB/f.u.
Relative energy among the computed polymorphs = 9.5 meV/atom
Electronic total energy = -4.417 eV/atom
Theoretical density = 7.03 g/cm3
Crystal system = tetragonal



This record from Alexandria via LeMat-Bulk describes a relaxed TbPrHo6 crystal. The functional is PBE.

Structure (POSCAR):
```
TbPrHo6
1.0
-4.601 -1.709 7.029
-4.257 -8.447 1.747
0.373 -4.770 4.313
Tb Pr Ho
1 1 6
direct
0.000 0.000 0.000
0.500 0.500 0.500
0.954 0.455 0.839
0.752 0.954 0.749
0.454 0.248 0.343
0.248 0.046 0.251
0.046 0.545 0.161
0.546 0.752 0.657
```

Calculated values
ΔE_f = 0.151 eV/atom
Total moment = 0.0 μB/f.u.
Relative energy among the computed polymorphs = 0.0 meV/atom
Electronic total energy = -4.459 eV/atom
Theoretical density = 8.18 g/cm3
Crystal system = trigonal



This record from Alexandria via LeMat-Bulk describes a relaxed Tb6Pr2Ho crystal. The functional is PBE.

Structure (POSCAR):
```
Tb6Pr2Ho
1.0
-6.097 -1.188 0.000
-3.882 -10.748 -3.414
-6.073 0.496 10.253
Tb Pr Ho
12 4 2
direct
0.336 0.674 0.496
0.164 0.504 0.326
0.664 0.326 0.504
0.836 0.496 0.674
0.931 0.922 0.407
0.569 0.593 0.078
0.069 0.078 0.593
0.431 0.407 0.922
0.178 0.838 0.991
0.322 0.009 0.162
0.822 0.162 0.009
0.678 0.991 0.838
0.020 0.657 0.837
0.480 0.163 0.343
0.980 0.343 0.163
0.520 0.837 0.657
0.250 0.240 0.760
0.750 0.760 0.240
```

Calculated values
ΔE_f = 0.109 eV/atom
Total moment = 0.0 μB/f.u.
Relative energy among the computed polymorphs = 0.0 meV/atom
Electronic total energy = -4.549 eV/atom
Theoretical density = 7.89 g/cm3
Crystal system = monoclinic



This record from Alexandria via LeMat-Bulk describes a relaxed Tb4Pr3Ho2 crystal. The functional is PBE.

Structure (POSCAR):
```
Tb4Pr3Ho2
1.0
5.778 1.583 1.134
2.060 11.095 0.706
2.060 4.243 10.276
Tb Pr Ho
8 6 4
direct
0.420 0.919 0.182
0.080 0.818 0.081
0.580 0.081 0.818
0.920 0.182 0.919
0.077 0.153 0.414
0.423 0.586 0.847
0.923 0.847 0.586
0.577 0.414 0.153
0.748 0.058 0.276
0.752 0.724 0.942
0.252 0.942 0.724
0.248 0.276 0.058
0.250 0.609 0.391
0.750 0.391 0.609
0.419 0.253 0.516
0.081 0.484 0.747
0.581 0.747 0.484
0.919 0.516 0.253
```

Calculated values
ΔE_f = 0.098 eV/atom
Total moment = 0.0 μB/f.u.
Relative energy among the computed polymorphs = 80.4 meV/atom
Electronic total energy = -4.570 eV/atom
Theoretical density = 7.76 g/cm3
Crystal system = monoclinic



This record from Alexandria via LeMat-Bulk describes a relaxed Tb4Pr2Ho crystal. The functional is PBE.

Structure (POSCAR):
```
Tb4Pr2Ho
1.0
7.288 0.000 0.000
0.000 11.459 -0.070
0.000 0.072 11.459
Tb Pr Ho
16 8 4
direct
0.252 0.283 0.500
0.752 0.283 0.500
0.252 0.000 0.217
0.752 0.000 0.783
0.752 0.000 0.217
0.252 0.000 0.783
0.752 0.717 0.500
0.252 0.717 0.500
0.248 0.783 0.000
0.748 0.783 0.000
0.248 0.500 0.717
0.748 0.500 0.283
0.748 0.500 0.717
0.248 0.500 0.283
0.748 0.217 0.000
0.248 0.217 0.000
0.500 0.250 0.250
0.000 0.250 0.750
0.000 0.750 0.250
0.500 0.750 0.750
0.500 0.750 0.250
0.000 0.750 0.750
0.500 0.250 0.750
0.000 0.250 0.250
0.502 0.000 0.500
0.002 0.000 0.500
0.498 0.500 0.000
0.998 0.500 0.000
```

Calculated values
ΔE_f = 0.186 eV/atom
Total moment = 0.0 μB/f.u.
Relative energy among the computed polymorphs = 0.0 meV/atom
Electronic total energy = -4.479 eV/atom
Theoretical density = 7.51 g/cm3
Crystal system = tetragonal



This record from Alexandria via LeMat-Bulk describes a relaxed Tb8Pr3Ho crystal. The functional is PBE.

Structure (POSCAR):
```
Tb8Pr3Ho
1.0
7.615 -0.439 -3.582
-4.438 7.055 -1.247
-0.276 0.439 8.411
Tb Pr Ho
8 3 1
direct
0.490 0.235 0.235
0.510 0.745 0.745
0.000 0.765 0.255
0.000 0.255 0.765
0.250 0.371 0.371
0.750 0.121 0.121
0.000 0.629 0.879
0.000 0.879 0.629
0.500 0.750 0.250
0.500 0.250 0.750
0.000 0.500 0.500
0.000 0.000 0.000
```

Calculated values
ΔE_f = 0.603 eV/atom
Total moment = 0.0 μB/f.u.
Electronic total energy = -4.060 eV/atom
Theoretical density = 7.02 g/cm3
Crystal system = tetragonal



This record from Alexandria via LeMat-Bulk describes a relaxed Tb5Pr2Ho4 crystal. The functional is PBE.

Structure (POSCAR):
```
Tb5Pr2Ho4
1.0
3.425 0.000 -0.522
-0.194 8.665 -1.270
0.089 0.355 12.071
Tb Pr Ho
5 2 4
direct
0.141 0.124 0.281
0.859 0.876 0.719
0.234 0.825 0.468
0.500 0.000 0.000
0.766 0.175 0.532
0.907 0.258 0.814
0.093 0.742 0.186
0.678 0.473 0.355
0.046 0.362 0.091
0.322 0.527 0.645
0.954 0.638 0.909
```

Calculated values
ΔE_f = 0.150 eV/atom
Total moment = 0.0 μB/f.u.
Relative energy among the computed polymorphs = 0.0 meV/atom
Electronic total energy = -4.488 eV/atom
Theoretical density = 8.00 g/cm3
Crystal system = monoclinic



This record from Alexandria via LeMat-Bulk describes a relaxed Tb7PrHo4 crystal. The functional is PBE.

Structure (POSCAR):
```
Tb7PrHo4
1.0
-5.511 -2.869 3.613
-1.545 -6.409 6.839
2.025 4.980 7.035
Tb Pr Ho
7 1 4
direct
0.752 0.500 0.000
0.248 0.500 0.000
0.972 0.279 0.665
0.028 0.721 0.335
0.222 0.778 0.665
0.500 0.000 0.000
0.778 0.222 0.335
0.000 0.000 0.000
0.531 0.721 0.335
0.469 0.279 0.665
0.721 0.780 0.665
0.279 0.220 0.335
```

Calculated values
ΔE_f = -0.001 eV/atom
Total moment = 0.0 μB/f.u.
Relative energy among the computed polymorphs = 0.0 meV/atom
Electronic total energy = -4.626 eV/atom
Theoretical density = 8.26 g/cm3
Crystal system = triclinic



This record from Alexandria via LeMat-Bulk describes a relaxed Tb8Pr2Ho crystal. The functional is PBE.

Structure (POSCAR):
```
Tb8Pr2Ho
1.0
-3.087 3.889 3.246
-8.094 3.196 -2.537
-7.672 -4.510 2.603
Tb Pr Ho
8 2 1
direct
0.827 0.099 0.230
0.827 0.329 0.770
0.297 0.425 0.000
0.500 0.793 0.414
0.500 0.207 0.586
0.703 0.575 0.000
0.173 0.671 0.230
0.173 0.901 0.770
0.000 0.307 0.387
0.000 0.693 0.613
0.500 0.000 0.000
```

Calculated values
ΔE_f = 0.154 eV/atom
Total moment = 0.0 μB/f.u.
Relative energy among the computed polymorphs = 135.4 meV/atom
Electronic total energy = -4.498 eV/atom
Theoretical density = 7.81 g/cm3
Crystal system = monoclinic



This record from Alexandria via LeMat-Bulk describes a relaxed Tb3Pr2Ho6 crystal. The functional is PBE.

Structure (POSCAR):
```
Tb3Pr2Ho6
1.0
5.858 0.000 1.751
2.929 5.302 0.876
-1.334 0.000 11.645
Tb Pr Ho
3 2 6
direct
0.000 0.000 0.000
0.335 0.329 0.000
0.665 0.671 0.000
0.167 0.666 0.500
0.833 0.334 0.500
0.416 0.667 0.753
0.749 0.000 0.753
0.082 0.333 0.753
0.251 0.000 0.247
0.584 0.333 0.247
0.918 0.667 0.247
```

Calculated values
ΔE_f = 0.181 eV/atom
Total moment = 0.0 μB/f.u.
Relative energy among the computed polymorphs = 0.0 meV/atom
Electronic total energy = -4.448 eV/atom
Theoretical density = 7.76 g/cm3
Crystal system = monoclinic



This record from Alexandria via LeMat-Bulk describes a relaxed Tb3Pr7Ho2 crystal. The functional is PBE.

Structure (POSCAR):
```
Tb3Pr7Ho2
1.0
-3.445 -2.784 3.422
-3.599 -1.639 -4.956
6.838 -10.202 -1.418
Tb Pr Ho
3 7 2
direct
0.500 0.500 0.000
0.000 0.931 0.342
0.000 0.069 0.658
0.500 0.246 0.453
0.500 0.754 0.547
0.000 0.444 0.186
0.000 0.000 0.000
0.000 0.556 0.814
0.500 0.907 0.829
0.500 0.093 0.171
0.500 0.623 0.277
0.500 0.377 0.723
```

Calculated values
ΔE_f = 0.273 eV/atom
Total moment = 0.0 μB/f.u.
Relative energy among the computed polymorphs = 159.4 meV/atom
Electronic total energy = -4.435 eV/atom
Theoretical density = 6.79 g/cm3
Crystal system = monoclinic



This record from Alexandria via LeMat-Bulk describes a relaxed TbPr12Ho7 crystal. The functional is PBE.

Structure (POSCAR):
```
TbPr12Ho7
1.0
9.478 -0.149 -0.223
-2.779 9.063 -0.223
-2.779 -3.697 8.278
Tb Pr Ho
1 12 7
direct
0.000 0.000 0.000
0.780 0.327 0.622
0.673 0.378 0.220
0.407 0.054 0.295
0.946 0.705 0.593
0.378 0.220 0.673
0.705 0.593 0.946
0.295 0.407 0.054
0.622 0.780 0.327
0.054 0.295 0.407
0.593 0.946 0.705
0.327 0.622 0.780
0.220 0.673 0.378
0.104 0.682 0.993
0.318 0.007 0.896
0.007 0.896 0.318
0.500 0.500 0.500
0.993 0.104 0.682
0.682 0.993 0.104
0.896 0.318 0.007
```

Calculated values
ΔE_f = 0.143 eV/atom
Total moment = 0.0 μB/f.u.
Relative energy among the computed polymorphs = 0.0 meV/atom
Electronic total energy = -4.558 eV/atom
Theoretical density = 7.21 g/cm3
Crystal system = trigonal



What is the total moment in the tenth record?
0.0 μB/f.u.